12
Lattice="0.0506 8.4404 -0.3408 -1.6585 -7.1190 4.2343 10.6614 0.1123 4.3647" Properties=species:S:1:pos:R:3 comment="KHoZrTe3, relaxed, DFT GGA-PBE" final_energy_ev_per_atom=-4.9581 pbc="T T T"
Te 9.9717 6.5103 4.4114
Te -0.9182 -5.0765 3.8468
K 6.7642 -3.1508 6.3658
Te 7.3223 1.9304 4.8717
Ho 4.5267 0.7169 4.1291
K 2.2893 4.5846 1.8924
Te 1.7312 -0.4966 3.3865
Zr 1.0665 -6.5477 5.1658
Zr 7.9870 7.9815 3.0925
Te 3.3794 -5.0312 5.6062
Te 5.6741 6.4650 2.6520
Ho -0.8040 0.6607 1.9468

=====

6
Lattice="7.4692 0.0000 0.0000 0.0000 1.9342 10.4338 0.0000 -1.9342 10.4338" Properties=species:S:1:pos:R:3 comment="K4HoTm, relaxed, DFT GGA-PBE" final_energy_ev_per_atom=-1.7701 pbc="T T T"
K 3.7346 0.0000 6.8530
K 0.0000 0.0000 10.4562
Ho 0.0000 0.0000 16.9993
K 3.7346 0.0000 20.8570
K 3.7346 0.0000 13.9959
Tm 0.0000 0.0000 3.8750

=====

3
Lattice="-1.1733 -5.2296 -2.2979 -4.5235 -3.1046 1.9760 -4.7230 -0.7227 -3.3430" Properties=species:S:1:pos:R:3 comment="KHoTm, relaxed, DFT GGA-PBE" de_polymorph_mev_per_atom=0.0 pbc="T T T"
Ho -2.6050 -2.2642 -0.9162
K -7.8149 -6.7926 -2.7487
Tm 0.0000 0.0000 0.0000

=====

3
Lattice="0.0000 4.1518 4.1518 4.1518 0.0000 4.1518 4.1518 4.1518 0.0000" Properties=species:S:1:pos:R:3 comment="KYHo, relaxed, DFT GGA-PBE" de_polymorph_mev_per_atom=0.0 pbc="T T T"
Y 6.2277 6.2277 6.2277
Ho 0.0000 0.0000 0.0000
K 2.0759 2.0759 2.0759

=====

3
Lattice="0.0000 3.7181 3.7181 3.7181 0.0000 3.7181 3.7181 3.7181 0.0000" Properties=species:S:1:pos:R:3 comment="KHoZn, relaxed, DFT GGA-PBE" de_polymorph_mev_per_atom=0.0 pbc="T T T"
Zn 0.0000 0.0000 0.0000
K 5.5771 5.5771 5.5771
Ho 1.8590 1.8590 1.8590

=====

6
Lattice="0.0000 4.7261 4.7261 4.7261 0.0000 4.7261 4.7261 4.7261 0.0000" Properties=species:S:1:pos:R:3 comment="LaHo2, relaxed, DFT GGA-PBE" formation_enthalpy_0k_ev_per_atom=0.272 pbc="T T T"
Ho 5.9076 3.5446 3.5446
La 2.3631 2.3631 2.3631
La 0.0000 0.0000 0.0000
Ho 3.5446 3.5446 5.9076
Ho 3.5446 5.9076 3.5446
Ho 5.9076 5.9076 5.9076

=====

2
Lattice="4.6869 -1.5935 0.9623 3.2285 2.9978 2.4542 1.3681 -1.1015 4.7273" Properties=species:S:1:pos:R:3 comment="LaHo, relaxed, DFT GGA-PBE" de_polymorph_mev_per_atom=968.2 formation_enthalpy_0k_ev_per_atom=1.617 pbc="T T T"
La 2.3209 0.0757 2.0359
Ho 0.0000 0.0000 0.0000

=====

2
Lattice="0.0000 3.2985 3.2985 3.2985 0.0000 3.2985 3.2985 3.2985 0.0000" Properties=species:S:1:pos:R:3 comment="LaHo, relaxed, DFT GGA-PBE" de_polymorph_mev_per_atom=0.0 formation_enthalpy_0k_ev_per_atom=0.649 pbc="T T T"
Ho 0.0000 0.0000 0.0000
La 3.2985 3.2985 3.2985

=====

9
Lattice="4.7612 0.0000 0.0000 -2.3806 4.1234 0.0000 0.0000 0.0000 11.3616" Properties=species:S:1:pos:R:3 comment="Li3LaHo2Pb3, relaxed, DFT GGA-PBE" final_energy_ev_per_atom=-3.9326 pbc="T T T"
Ho 0.0000 0.0000 3.8805
Ho 0.0000 0.0000 7.4811
Pb 2.3806 1.3744 5.6808
Pb 0.0000 2.7489 2.1027
Li 2.3806 1.3744 9.0370
Pb 0.0000 2.7489 9.2589
La 0.0000 0.0000 0.0000
Li 0.0000 2.7489 5.6808
Li 2.3806 1.3744 2.3247

=====

3
Lattice="0.0000 3.8561 3.8561 3.8561 0.0000 3.8561 3.8561 3.8561 0.0000" Properties=species:S:1:pos:R:3 comment="LaHoLu, relaxed, DFT GGA-PBE" de_polymorph_mev_per_atom=0.0 formation_enthalpy_0k_ev_per_atom=0.691 pbc="T T T"
Ho 3.8561 3.8561 3.8561
La 0.0000 0.0000 0.0000
Lu 1.9280 1.9280 1.9280

=====

3
Lattice="0.0000 3.7673 3.7673 3.7673 0.0000 3.7673 3.7673 3.7673 0.0000" Properties=species:S:1:pos:R:3 comment="LaHoMg, relaxed, DFT GGA-PBE" de_polymorph_mev_per_atom=0.0 pbc="T T T"
Ho 1.8836 1.8836 1.8836
Mg 0.0000 0.0000 0.0000
La 5.6509 5.6509 5.6509

=====

3
Lattice="3.8625 -3.5302 -1.3479 -0.0230 -4.9701 2.1202 -1.1950 -4.2569 -3.1062" Properties=species:S:1:pos:R:3 comment="NaLaHo, relaxed, DFT GGA-PBE" final_energy_ev_per_atom=-2.8493 pbc="T T T"
Ho 0.6611 -3.1893 -0.5835
Na 0.0000 0.0000 0.0000
La 1.9834 -9.5679 -1.7504

=====

Number 1: calculated volume 34.6 Å³ per atom. Number 2: calculated volume 50.2 Å³ per atom. Number 3: calculated volume 46.7 Å³ per atom. Number 4: calculated volume 47.7 Å³ per atom. Number 5: calculated volume 34.3 Å³ per atom. Number 6: calculated volume 35.2 Å³ per atom. Number 7: calculated volume 45.3 Å³ per atom. Number 8: calculated volume 35.9 Å³ per atom. Number 9: calculated volume 24.8 Å³ per atom. Number 10: calculated volume 38.2 Å³ per atom. Number 11: calculated volume 35.6 Å³ per atom. Number 12: calculated volume 37.2 Å³ per atom.